# 1
# Sb2MoP

A geometry-optimized Sb2MoP structure (PBEsol, Alexandria).

Values from the calculation:
- Fermi-level density of states: 5.28 states/eV/cell
- VASP energy: -6.180 eV per atom
- Density: 8.15 Mg/m³

a = 3.7129 Å, b = 4.8457 Å, c = 8.3881 Å
α = 90.00°, β = 90.00°, γ = 90.00°
Atoms (fractional coordinates):
Sb: 0.0000 0.0000 0.2269
Sb: 0.0000 0.0000 0.7731
Sb: 0.5000 0.5000 0.2731
Sb: 0.5000 0.5000 0.7269
Mo: 0.0000 0.5000 0.0000
Mo: 0.5000 0.0000 0.5000
P: 0.0000 0.5000 0.5000
P: 0.5000 0.0000 0.0000

# 2
# Sb2MoP

A geometry-optimized Sb2MoP structure (PBEsol, Alexandria).

Values from the calculation:
- Fermi-level density of states: 6.17 states/eV/cell
- VASP energy: -6.500 eV per atom
- Density: 7.20 Mg/m³

a = 3.5446 Å, b = 3.6506 Å, c = 13.2035 Å
α = 90.00°, β = 90.00°, γ = 90.00°
Atoms (fractional coordinates):
Sb: 0.0000 0.0000 0.0000
Sb: 0.0000 0.5000 0.2167
Sb: 0.5000 0.0000 0.7167
Sb: 0.5000 0.5000 0.5000
Mo: 0.0000 0.5000 0.8162
Mo: 0.5000 0.0000 0.3162
P: 0.0000 0.0000 0.4407
P: 0.5000 0.5000 0.9407

# 3
# Sb2MoP

A geometry-optimized Sb2MoP structure (PBEsol, Alexandria).

Values from the calculation:
- Fermi-level density of states: 1.48 states/eV/cell
- VASP energy: -6.809 eV per atom
- Density: 7.77 Mg/m³

a = 3.1998 Å, b = 3.1998 Å, c = 7.7291 Å
α = 90.00°, β = 90.00°, γ = 90.00°
Atoms (fractional coordinates):
Sb: 0.0000 0.0000 0.0000
Sb: 0.5000 0.5000 0.3810
Mo: 0.0000 0.0000 0.6261
P: 0.5000 0.5000 0.7602